Compound: Cs2K2Hg
Source: Alexandria via LeMat-Bulk
Functional: PBE-GGA
Structure: optimized geometry

The space group is I4/mmm (No. 139) and the conventional cell measures 5.518, 5.518 and 25.539 Å, with angles of 90.00, 90.00 and 90.00 degrees. The distinct sites, in fractional coordinates, are Cs at (0.000, 0.000, 0.086), K at (0.000, 0.500, 0.250) and Hg at (0.000, 0.000, 0.500).

Its formation energy is 0.022 eV/atom. Its distance to the lowest polymorph of the same formula is 0.120 eV/atom. Its total energy is -0.819 eV per atom.